Entry 1:
First-principles (GGA-PBE) data for Sr2MgAl4In3 after structural relaxation, as listed in Alexandria via LeMat-Bulk.

Unit cell a=4.6086 b=4.6086 c=11.9663 alpha=90.00 beta=90.00 gamma=90.00
Fractional positions:
1 Sr 0.0000 0.5000 0.2482
2 Sr 0.5000 0.0000 0.7518
3 Mg 0.0000 0.0000 0.5000
4 Al 0.0000 0.0000 0.0000
5 Al 0.0000 0.5000 0.6382
6 Al 0.5000 0.0000 0.3618
7 Al 0.5000 0.5000 0.0000
8 In 0.0000 0.5000 0.8644
9 In 0.5000 0.0000 0.1356
10 In 0.5000 0.5000 0.5000

Calculated values
N(E_F) in states/eV/f.u.: 3.2
Density in kg/m³: 4259
Uncorrected energy in eV/atom: -3.027
E_form in meV per atom: -213



Entry 2:
First-principles (GGA-PBE) data for SrMgAlIn after structural relaxation, as listed in Alexandria via LeMat-Bulk.

Unit cell a=5.2963 b=5.2963 c=5.2963 alpha=60.00 beta=60.00 gamma=60.00
Fractional positions:
1 Sr 0.0000 0.0000 0.0000
2 Mg 0.5000 0.5000 0.5000
3 Al 0.7500 0.7500 0.7500
4 In 0.2500 0.2500 0.2500

Calculated values
N(E_F) in states/eV/f.u.: 0.7
Density in kg/m³: 4011
Uncorrected energy in eV/atom: -2.583
E_form in meV per atom: -143



Entry 3:
First-principles (GGA-PBE) data for TmMgAlIn after structural relaxation, as listed in Alexandria via LeMat-Bulk.

Unit cell a=4.3923 b=4.4228 c=4.5323 alpha=90.00 beta=90.00 gamma=90.00
Fractional positions:
1 Tm 0.0000 0.0000 0.0000
2 Mg 0.0000 0.5000 0.5000
3 Al 0.5000 0.5000 0.0000
4 In 0.5000 0.0000 0.5000

Calculated values
N(E_F) in states/eV/f.u.: 1.9
Density in kg/m³: 6319
Uncorrected energy in eV/atom: -3.462
E_form in meV per atom: -325



Entry 4:
First-principles (GGA-PBE) data for TmMgAlIn after structural relaxation, as listed in Alexandria via LeMat-Bulk.

Unit cell a=5.0500 b=5.0500 c=5.0500 alpha=60.00 beta=60.00 gamma=60.00
Fractional positions:
1 Tm 0.0000 0.0000 0.0000
2 Mg 0.5000 0.5000 0.5000
3 Al 0.2500 0.2500 0.2500
4 In 0.7500 0.7500 0.7500

Calculated values
N(E_F) in states/eV/f.u.: 2.2
Density in kg/m³: 6109
Uncorrected energy in eV/atom: -3.329
E_form in meV per atom: -192



Entry 5:
First-principles (GGA-PBE) data for MgAlZnIn after structural relaxation, as listed in Alexandria via LeMat-Bulk.

Unit cell a=4.8492 b=4.8492 c=4.8492 alpha=60.00 beta=60.00 gamma=60.00
Fractional positions:
1 Mg 0.0000 0.0000 0.0000
2 Al 0.5000 0.5000 0.5000
3 Zn 0.2500 0.2500 0.2500
4 In 0.7500 0.7500 0.7500

Calculated values
N(E_F) in states/eV/f.u.: 1.7
Density in kg/m³: 4768
Uncorrected energy in eV/atom: -2.242
E_form in meV per atom: 95



Entry 6:
First-principles (GGA-PBE) data for Mn4AlIn after structural relaxation, as listed in Alexandria via LeMat-Bulk.

Unit cell a=4.8370 b=4.8370 c=4.8370 alpha=60.00 beta=60.00 gamma=60.00
Fractional positions:
1 Mn 0.1246 0.1246 0.1246
2 Mn 0.1246 0.1246 0.6263
3 Mn 0.1246 0.6263 0.1246
4 Mn 0.6263 0.1246 0.1246
5 Al 0.7500 0.7500 0.7500
6 In 0.5000 0.5000 0.5000

Calculated values
N(E_F) in states/eV/f.u.: 8.1
Density in kg/m³: 7503
Uncorrected energy in eV/atom: -7.006
E_form in meV per atom: 187



Entry 7:
First-principles (GGA-PBE) data for Mn3AlIn after structural relaxation, as listed in Alexandria via LeMat-Bulk.

Unit cell a=4.9617 b=4.9617 c=4.9617 alpha=90.00 beta=90.00 gamma=90.00
Fractional positions:
1 Mn 0.0000 0.0000 0.5000
2 Mn 0.0000 0.5000 0.0000
3 Mn 0.5000 0.0000 0.0000
4 Al 0.5000 0.5000 0.5000
5 In 0.0000 0.0000 0.0000

Calculated values
N(E_F) in states/eV/f.u.: 3.8
Density in kg/m³: 4168
Uncorrected energy in eV/atom: -5.546
E_form in meV per atom: 1252



Entry 8:
First-principles (GGA-PBE) data for Mn2AlIn after structural relaxation, as listed in Alexandria via LeMat-Bulk.

Unit cell a=2.8502 b=2.8502 c=7.4614 alpha=90.00 beta=90.00 gamma=90.00
Fractional positions:
1 Mn 0.0000 0.0000 0.2228
2 Mn 0.0000 0.0000 0.7772
3 Al 0.5000 0.5000 0.0000
4 In 0.5000 0.5000 0.5000

Calculated values
N(E_F) in states/eV/f.u.: 2.4
Density in kg/m³: 6895
Uncorrected energy in eV/atom: -6.198
E_form in meV per atom: 7



Entry 9:
First-principles (GGA-PBE) data for Mn2AlIn after structural relaxation, as listed in Alexandria via LeMat-Bulk.

Unit cell a=4.7390 b=4.7390 c=2.8524 alpha=90.00 beta=90.00 gamma=106.73
Fractional positions:
1 Mn 0.0000 0.5000 0.0000
2 Mn 0.5000 0.0000 0.0000
3 Al 0.0000 0.0000 0.5000
4 In 0.5000 0.5000 0.5000

Calculated values
N(E_F) in states/eV/f.u.: 2.9
Density in kg/m³: 6812
Uncorrected energy in eV/atom: -6.139
E_form in meV per atom: 66



Entry 10:
First-principles (GGA-PBE) data for Mn2AlIn2 after structural relaxation, as listed in Alexandria via LeMat-Bulk.

Unit cell a=6.4593 b=6.4593 c=4.1828 alpha=90.00 beta=90.00 gamma=90.00
Fractional positions:
1 Mn 0.1418 0.3582 0.0000
2 Mn 0.3582 0.8582 0.0000
3 Mn 0.6418 0.1418 0.0000
4 Mn 0.8582 0.6418 0.0000
5 Al 0.0000 0.0000 0.0000
6 Al 0.5000 0.5000 0.0000
7 In 0.1644 0.6644 0.5000
8 In 0.3356 0.1644 0.5000
9 In 0.6644 0.8356 0.5000
10 In 0.8356 0.3356 0.5000

Calculated values
N(E_F) in states/eV/f.u.: 2.2
Density in kg/m³: 6974
Uncorrected energy in eV/atom: -5.363
E_form in meV per atom: 148



Entry 11:
First-principles (GGA-PBE) data for Mn2Al2In after structural relaxation, as listed in Alexandria via LeMat-Bulk.

Unit cell a=7.3681 b=7.3681 c=2.8620 alpha=90.00 beta=90.00 gamma=90.00
Fractional positions:
1 Mn 0.1687 0.3313 0.0000
2 Mn 0.3313 0.8313 0.0000
3 Mn 0.6687 0.1687 0.0000
4 Mn 0.8313 0.6687 0.0000
5 Al 0.1258 0.6258 0.5000
6 Al 0.3742 0.1258 0.5000
7 Al 0.6258 0.8742 0.5000
8 Al 0.8742 0.3742 0.5000
9 In 0.0000 0.0000 0.5000
10 In 0.5000 0.5000 0.5000

Calculated values
N(E_F) in states/eV/f.u.: 4.6
Density in kg/m³: 5956
Uncorrected energy in eV/atom: -5.673
E_form in meV per atom: 39



Entry 12:
First-principles (GGA-PBE) data for Mn2AlIn after structural relaxation, as listed in Alexandria via LeMat-Bulk.

Unit cell a=5.7077 b=5.7077 c=5.7077 alpha=103.53 beta=103.53 gamma=122.16
Fractional positions:
1 Mn 0.1075 0.6250 0.9825
2 Mn 0.3750 0.3575 0.4825
3 Mn 0.6425 0.1250 0.0175
4 Mn 0.8750 0.8925 0.5175
5 Al 0.0000 0.0000 0.0000
6 Al 0.7500 0.2500 0.5000
7 In 0.2500 0.7500 0.5000
8 In 0.5000 0.5000 0.0000

Calculated values
N(E_F) in states/eV/f.u.: 3.7
Density in kg/m³: 6066
Uncorrected energy in eV/atom: -5.751
E_form in meV per atom: 454